1.
{
  "formula": "CaHfV2B",
  "functional": "PBE",
  "state": "optimized geometry",
  "lattice": [[4.140, 0.000, 0.000], [0.000, 4.140, 0.000], [0.000, 0.000, 5.112]],
  "species": ["Ca", "Hf", "V", "V", "B"],
  "frac_coords": [[0.000, 0.000, 0.000], [0.000, 0.000, 0.500], [0.000, 0.500, 0.000], [0.500, 0.000, 0.000], [0.500, 0.500, 0.500]],
  "spacegroup": "P4/mmm (123)",
  "formation_enthalpy_0k_ev_per_atom": 2.6989,
  "dos_ef_per_ev_atom": 0.88
}



2.
{
  "formula": "La2Sm12Er",
  "functional": "PBE",
  "state": "optimized geometry",
  "lattice": [[6.563, 0.000, 0.000], [0.000, 6.563, 0.000], [0.000, 0.000, 25.327]],
  "species": ["La", "La", "La", "La", "Sm", "Sm", "Sm", "Sm", "Sm", "Sm", "Sm", "Sm", "Sm", "Sm", "Sm", "Sm", "Sm", "Sm", "Sm", "Sm", "Sm", "Sm", "Sm", "Sm", "Sm", "Sm", "Sm", "Sm", "Er", "Er"],
  "frac_coords": [[0.250, 0.750, 0.235], [0.250, 0.750, 0.765], [0.750, 0.250, 0.235], [0.750, 0.250, 0.765], [0.062, 0.562, 0.387], [0.062, 0.938, 0.613], [0.082, 0.582, 0.939], [0.082, 0.918, 0.061], [0.250, 0.250, 0.162], [0.250, 0.250, 0.286], [0.250, 0.250, 0.714], [0.250, 0.250, 0.838], [0.418, 0.582, 0.061], [0.418, 0.918, 0.939], [0.438, 0.562, 0.613], [0.438, 0.938, 0.387], [0.562, 0.062, 0.613], [0.562, 0.438, 0.387], [0.582, 0.082, 0.061], [0.582, 0.418, 0.939], [0.750, 0.750, 0.162], [0.750, 0.750, 0.286], [0.750, 0.750, 0.714], [0.750, 0.750, 0.838], [0.918, 0.082, 0.939], [0.918, 0.418, 0.061], [0.938, 0.062, 0.387], [0.938, 0.438, 0.613], [0.250, 0.750, 0.500], [0.750, 0.250, 0.500]],
  "spacegroup": "P4/nbm (125)",
  "formation_enthalpy_0k_ev_per_atom": 0.3107,
  "dos_ef_per_ev_atom": 1.42
}



3.
{
  "formula": "LiCu2Cl",
  "functional": "PBE",
  "state": "optimized geometry",
  "lattice": [[3.200, 0.000, 0.000], [0.000, 3.258, 0.000], [0.000, 0.000, 12.212]],
  "species": ["Li", "Li", "Cu", "Cu", "Cu", "Cu", "Cl", "Cl"],
  "frac_coords": [[0.000, 0.000, 0.000], [0.000, 0.500, 0.500], [0.000, 0.000, 0.225], [0.000, 0.500, 0.725], [0.500, 0.000, 0.650], [0.500, 0.500, 0.150], [0.500, 0.000, 0.441], [0.500, 0.500, 0.941]],
  "e_form_raw_ev_per_atom": -0.418,
  "spacegroup": "Amm2 (38)",
  "dos_ef_per_ev_atom": 0.10
}



4.
{
  "formula": "Li2RhCl4",
  "functional": "PBE",
  "state": "optimized geometry",
  "lattice": [[6.356, 0.000, 0.000], [0.000, 6.356, 0.000], [0.000, 0.000, 7.411]],
  "species": ["Li", "Li", "Li", "Li", "Rh", "Rh", "Cl", "Cl", "Cl", "Cl", "Cl", "Cl", "Cl", "Cl"],
  "frac_coords": [[0.000, 0.500, 0.250], [0.000, 0.500, 0.750], [0.500, 0.000, 0.250], [0.500, 0.000, 0.750], [0.000, 0.000, 0.000], [0.500, 0.500, 0.500], [0.250, 0.250, 0.083], [0.250, 0.250, 0.583], [0.250, 0.750, 0.417], [0.250, 0.750, 0.917], [0.750, 0.250, 0.417], [0.750, 0.250, 0.917], [0.750, 0.750, 0.083], [0.750, 0.750, 0.583]],
  "e_form_raw_ev_per_atom": -1.013,
  "spacegroup": "I-42m (121)",
  "dos_ef_per_ev_atom": 0.67
}



5.
{
  "formula": "Nd6SmEr",
  "functional": "PBE",
  "state": "optimized geometry",
  "lattice": [[5.165, 0.000, 0.000], [0.000, 5.165, 0.000], [0.000, 0.000, 10.325]],
  "species": ["Nd", "Nd", "Nd", "Nd", "Nd", "Nd", "Sm", "Er"],
  "frac_coords": [[0.000, 0.000, 0.000], [0.000, 0.000, 0.500], [0.000, 0.500, 0.248], [0.000, 0.500, 0.752], [0.500, 0.000, 0.248], [0.500, 0.000, 0.752], [0.500, 0.500, 0.500], [0.500, 0.500, 0.000]],
  "spacegroup": "P4/mmm (123)",
  "formation_enthalpy_0k_ev_per_atom": 0.0157,
  "dos_ef_per_ev_atom": 1.70
}



6.
{
  "formula": "KIn5Pt2",
  "functional": "PBE",
  "state": "optimized geometry",
  "lattice": [[4.393, 0.000, 0.000], [0.000, 7.963, 0.000], [0.000, 0.000, 11.456]],
  "species": ["K", "K", "In", "In", "In", "In", "In", "In", "In", "In", "In", "In", "Pt", "Pt", "Pt", "Pt"],
  "frac_coords": [[0.000, 0.000, 0.000], [0.500, 0.500, 0.500], [0.000, 0.204, 0.349], [0.000, 0.204, 0.651], [0.000, 0.500, 0.000], [0.000, 0.796, 0.349], [0.000, 0.796, 0.651], [0.500, 0.000, 0.500], [0.500, 0.296, 0.151], [0.500, 0.296, 0.849], [0.500, 0.704, 0.151], [0.500, 0.704, 0.849], [0.000, 0.500, 0.231], [0.000, 0.500, 0.769], [0.500, 0.000, 0.269], [0.500, 0.000, 0.731]],
  "spacegroup": "Immm (71)",
  "formation_enthalpy_0k_ev_per_atom": -0.3585,
  "dos_ef_per_ev_atom": 0.47
}